VASP calculation (meta-GGA SCAN) on a crystal of Rb2ErCuCl6 relaxed with PBEsol.

## Properties
Volume in Å³/cell: 259
Space-group type: Fm-3m
E in eV per atom: -17.49
Formation energy (no corrections) in meV/atom: -2005

Unit cell a=7.1512 b=7.1512 c=7.1512 alpha=60.00 beta=60.00 gamma=60.00
Last column: magnetic moment on the atom in μB.
Fractional positions:
Cl 0.2548 0.7452 0.2548  0.00
Cl 0.7452 0.2548 0.2548  0.00
Cl 0.2548 0.7452 0.7452  0.00
Cl 0.7452 0.2548 0.7452  0.00
Cl 0.2548 0.2548 0.7452  0.00
Cl 0.7452 0.7452 0.2548  0.00
Cu 0.5000 0.5000 0.5000  0.06
Er 0.0000 0.0000 0.0000  0.00
Rb 0.7500 0.7500 0.7500  0.00
Rb 0.2500 0.2500 0.2500  0.00